CrInWO6: relaxed, PBE with a Hubbard U.

Cell: 5.1543 5.1543 9.3441 Å, 90.00 90.00 120.00°
Last column: nearest neighbours and their distance in Å.
Element x y z (fractional)
Cr 0.3333 0.6667 0.2500  6 O 2.02
Cr 0.6667 0.3333 0.7500  6 O 2.02
In 0.0000 0.0000 0.0000  6 O 2.21
In 0.0000 0.0000 0.5000  6 O 2.21
W 0.6667 0.3333 0.2500  6 O 1.95
W 0.3333 0.6667 0.7500  6 O 1.95
O 0.6523 0.6423 0.1353  1 W 1.95, 1 Cr 2.02
O 0.9901 0.3477 0.1353  1 W 1.95, 1 Cr 2.02
O 0.3477 0.9901 0.6353  1 W 1.95, 1 Cr 2.02
O 0.0099 0.6523 0.8647  1 W 1.95, 1 Cr 2.02
O 0.3577 0.3477 0.3647  1 W 1.95, 1 Cr 2.02
O 0.9901 0.6423 0.3647  1 W 1.95, 1 Cr 2.02
O 0.6423 0.9901 0.8647  1 W 1.95, 1 Cr 2.02
O 0.6523 0.0099 0.3647  1 W 1.95, 1 Cr 2.02
O 0.0099 0.3577 0.6353  1 W 1.95, 1 Cr 2.02
O 0.3577 0.0099 0.1353  1 W 1.95, 1 Cr 2.02
O 0.6423 0.6523 0.6353  1 W 1.95, 1 Cr 2.02
O 0.3477 0.3577 0.8647  1 W 1.95, 1 Cr 2.02

Values from the calculation:
**DOS(E_F)**: 0.000 states/eV per cell
**Space-group type**: P-31c (163)
**Total DFT energy (no corrections)**: -127.991 eV for the cell shown